Compound: LiCa2Zn16
Source: the Alexandria database
Functional: PBE
Structure: relaxed

Summary:
spin magnetization	0.00	μB per formula unit
uncorrected energy	-29.97	eV for the cell shown
calculated formation energy	-0.193	eV per atom

a = 6.8507 Å, b = 6.8507 Å, c = 6.8507 Å
α = 83.16°, β = 83.16°, γ = 83.16°
With the nearest neighbours (Å) after each atom.
Fractional positions:
Li1 0.0000 0.0000 0.0000  13 Zn 2.67-2.95
Ca1 0.4353 0.4353 0.4353  16 Zn 3.07-3.43
Ca2 0.7539 0.7539 0.7539  18 Zn 3.22-3.47, 1 Li 3.25
Zn1 0.0931 0.0931 0.5945  9 Zn 2.59-2.74, 1 Li 2.79
Zn2 0.0927 0.3877 0.7983  8 Zn 2.59-2.76
Zn3 0.0931 0.5945 0.0931  9 Zn 2.59-2.74, 1 Li 2.79
Zn4 0.0927 0.7983 0.3877  8 Zn 2.59-2.76
Zn5 0.2025 0.2025 0.2025  1 Li 2.67, 6 Zn 2.74-2.84
Zn6 0.2494 0.7438 0.7438  8 Zn 2.61-2.75, 1 Li 2.90
Zn7 0.3877 0.0927 0.7983  8 Zn 2.59-2.76
Zn8 0.3877 0.7983 0.0927  8 Zn 2.59-2.76
Zn9 0.4439 0.4439 0.9339  9 Zn 2.61-2.84
Zn10 0.4439 0.9339 0.4439  9 Zn 2.61-2.84
Zn11 0.5945 0.0931 0.0931  9 Zn 2.59-2.74, 1 Li 2.79
Zn12 0.7438 0.2494 0.7438  8 Zn 2.61-2.75, 1 Li 2.90
Zn13 0.7438 0.7438 0.2494  8 Zn 2.61-2.75, 1 Li 2.90
Zn14 0.7983 0.0927 0.3877  8 Zn 2.59-2.76
Zn15 0.7983 0.3877 0.0927  8 Zn 2.59-2.76
Zn16 0.9339 0.4439 0.4439  9 Zn 2.61-2.84